1.
Entry from Alexandria: Te2AsSe after structural relaxation (PBE-GGA).

a = 3.978 Å, b = 3.978 Å, c = 16.733 Å
α = 90.00°, β = 90.00°, γ = 90.00°
Space group I-4m2 (No. 119)
Asymmetric unit:
Te  0.000  0.000  0.000 [2 per cell]
Te  0.000  0.500  0.250 [2 per cell]
As  0.000  0.500  0.750 [2 per cell]
Se  0.000  0.000  0.500 [2 per cell]

Output
E_form (uncorrected) in meV/atom: 277
Polymorph energy (0 for the lowest one) in meV/atom: 223
VASP energy in eV/atom: -3.3277

=====

2.
Entry from Alexandria: TeAs2Se after structural relaxation (PBE-GGA).

a = 3.555 Å, b = 3.555 Å, c = 9.061 Å
α = 90.00°, β = 90.00°, γ = 90.00°
Space group P4mm (No. 99)
Asymmetric unit:
Te  0.000  0.000  0.000 [1 per cell]
As  0.000  0.000  0.474 [1 per cell]
As  0.500  0.500  0.137 [1 per cell]
Se  0.500  0.500  0.580 [1 per cell]

Output
E_form (uncorrected) in meV/atom: 229
Polymorph energy (0 for the lowest one) in meV/atom: 157
VASP energy in eV/atom: -3.7526

=====

3.
Entry from Alexandria: Te2AsSe after structural relaxation (PBE-GGA).

a = 5.987 Å, b = 5.987 Å, c = 6.047 Å
α = 90.00°, β = 90.00°, γ = 90.00°
Space group I4/mmm (No. 139)
Asymmetric unit:
Te  0.000  0.500  0.000 [4 per cell]
As  0.000  0.000  0.000 [2 per cell]
Se  0.000  0.000  0.500 [2 per cell]

Output
E_form (uncorrected) in meV/atom: 118
Polymorph energy (0 for the lowest one) in meV/atom: 65
VASP energy in eV/atom: -3.4863

=====

4.
Entry from Alexandria: TeAs2Se after structural relaxation (PBE-GGA).

a = 4.0805 Å, b = 4.0805 Å, c = 19.8642 Å
α = 90.00°, β = 90.00°, γ = 120.00°
Space group R-3m (No. 166, hexagonal axes)
Asymmetric unit:
Te  0.0000  0.0000  0.0000 [3 per cell]
As  0.0000  0.0000  0.2454 [6 per cell]
Se  0.0000  0.0000  0.5000 [3 per cell]

Output
E_form (uncorrected) in meV/atom: 108
Polymorph energy (0 for the lowest one) in meV/atom: 36
VASP energy in eV/atom: -3.8731

=====

5.
Entry from Alexandria: TeAsSe2 after structural relaxation (PBE-GGA).

a = 3.992 Å, b = 7.904 Å, c = 8.095 Å
α = 90.00°, β = 90.00°, γ = 90.00°
Space group Cmm2 (No. 35)
Asymmetric unit:
Te  0.000  0.000  0.000 [2 per cell]
As  0.000  0.500  0.714 [2 per cell]
Se  0.000  0.000  0.541 [2 per cell]
Se  0.000  0.500  0.210 [2 per cell]

Output
E_form (uncorrected) in meV/atom: 250
Polymorph energy (0 for the lowest one) in meV/atom: 299
VASP energy in eV/atom: -3.4397

=====

6.
Entry from Alexandria: Te2AsSe after structural relaxation (PBE-GGA).

a = 7.260 Å, b = 7.260 Å, c = 7.260 Å
α = 90.00°, β = 90.00°, γ = 90.00°
Space group Fm-3m (No. 225)
Asymmetric unit:
Te  0.250  0.250  0.250 [8 per cell]
As  0.000  0.000  0.000 [4 per cell]
Se  0.000  0.000  0.500 [4 per cell]

Output
E_form (uncorrected) in meV/atom: 394
Polymorph energy (0 for the lowest one) in meV/atom: 340
VASP energy in eV/atom: -3.2107